{
  "formula": "Ac5Bi2Os",
  "functional": "PBE-GGA",
  "state": "relaxed",
  "e_form_ev_per_fu": -4.3,
  "magnetic_moment_mub_per_fu": 0.0,
  "e_tot_ev_per_cell": -87.7,
  "dos_at_fermi_per_ev_atom": 1.027,
  "cell": [[9.317, 0.000, 0.000], [0.000, 13.591, 0.000], [0.000, 0.000, 4.753]],
  "species": ["Ac", "Ac", "Ac", "Ac", "Ac", "Ac", "Ac", "Ac", "Ac", "Ac", "Bi", "Bi", "Bi", "Bi", "Os", "Os"],
  "frac_coords": [[0.000, 0.000, 0.000], [0.132, 0.305, 0.000], [0.180, 0.564, 0.500], [0.320, 0.064, 0.500], [0.368, 0.805, 0.000], [0.500, 0.500, 0.000], [0.632, 0.195, 0.000], [0.680, 0.936, 0.500], [0.820, 0.436, 0.500], [0.868, 0.695, 0.000], [0.083, 0.825, 0.500], [0.417, 0.325, 0.500], [0.583, 0.675, 0.500], [0.917, 0.175, 0.500], [0.000, 0.500, 0.000], [0.500, 0.000, 0.000]]
}

***

{
  "formula": "LiTbSm2Te5",
  "functional": "PBE-GGA",
  "state": "relaxed",
  "magnetic_moment_mub_per_fu": 0.0,
  "e_tot_ev_per_cell": -86.7,
  "e_form_raw_ev_per_fu": -11.6,
  "cell": [[2.190, -9.330, 0.000], [2.190, 9.330, 0.000], [0.000, 0.000, 13.225]],
  "species": ["Li", "Li", "Tb", "Tb", "Sm", "Sm", "Sm", "Sm", "Te", "Te", "Te", "Te", "Te", "Te", "Te", "Te", "Te", "Te"],
  "frac_coords": [[0.057, 0.943, 0.500], [0.943, 0.057, 0.000], [0.302, 0.698, 0.045], [0.698, 0.302, 0.545], [0.374, 0.626, 0.337], [0.394, 0.606, 0.721], [0.606, 0.394, 0.221], [0.626, 0.374, 0.837], [0.002, 0.998, 0.819], [0.137, 0.863, 0.035], [0.188, 0.812, 0.380], [0.217, 0.783, 0.706], [0.453, 0.547, 0.110], [0.547, 0.453, 0.610], [0.783, 0.217, 0.206], [0.812, 0.188, 0.880], [0.863, 0.137, 0.535], [0.998, 0.002, 0.319]]
}

***

{
  "formula": "HfNiPS2",
  "functional": "PBE-GGA",
  "state": "relaxed",
  "magnetic_moment_mub_per_fu": 1.6,
  "e_tot_ev_per_cell": -27.8,
  "e_form_raw_ev_per_fu": 1.6,
  "dos_at_fermi_per_ev_atom": 1.845,
  "cell": [[4.865, 0.000, 0.000], [0.000, 4.865, 0.000], [0.000, 0.000, 5.043]],
  "species": ["Hf", "Ni", "P", "S", "S"],
  "frac_coords": [[0.000, 0.000, 0.000], [0.500, 0.500, 0.500], [0.000, 0.000, 0.500], [0.000, 0.500, 0.000], [0.500, 0.000, 0.000]]
}

***

{
  "formula": "Sc3TlH",
  "functional": "PBE-GGA",
  "state": "relaxed",
  "magnetic_moment_mub_per_fu": 0.6,
  "e_tot_ev_per_cell": -47.3,
  "dos_at_fermi_per_ev_atom": 1.102,
  "cell": [[3.173, -7.850, 0.000], [3.173, 7.850, 0.000], [0.000, 0.000, 5.287]],
  "species": ["Sc", "Sc", "Sc", "Sc", "Sc", "Sc", "Tl", "Tl", "H", "H"],
  "frac_coords": [[0.000, 0.000, 0.000], [0.000, 0.000, 0.500], [0.079, 0.417, 0.250], [0.417, 0.079, 0.750], [0.583, 0.921, 0.250], [0.921, 0.583, 0.750], [0.171, 0.829, 0.250], [0.829, 0.171, 0.750], [0.402, 0.598, 0.250], [0.598, 0.402, 0.750]]
}

***

{
  "formula": "Na3PtPb",
  "functional": "PBE-GGA",
  "state": "relaxed",
  "e_form_ev_per_fu": 1.0,
  "magnetic_moment_mub_per_fu": 0.0,
  "e_tot_ev_per_cell": -12.7,
  "dos_at_fermi_per_ev_atom": 0.526,
  "cell": [[5.389, 0.000, 0.000], [0.000, 5.389, 0.000], [0.000, 0.000, 5.389]],
  "species": ["Na", "Na", "Na", "Pt", "Pb"],
  "frac_coords": [[0.000, 0.000, 0.500], [0.000, 0.500, 0.000], [0.500, 0.000, 0.000], [0.000, 0.000, 0.000], [0.500, 0.500, 0.500]]
}

***

{
  "formula": "BaTc3P2",
  "functional": "PBE-GGA",
  "state": "relaxed",
  "e_form_ev_per_fu": -3.1,
  "magnetic_moment_mub_per_fu": 0.0,
  "e_tot_ev_per_cell": -93.9,
  "dos_at_fermi_per_ev_atom": 0.582,
  "cell": [[7.477, -2.065, 0.000], [7.477, 2.065, 0.000], [-3.588, 0.000, 7.504]],
  "species": ["Ba", "Ba", "Tc", "Tc", "Tc", "Tc", "Tc", "Tc", "P", "P", "P", "P"],
  "frac_coords": [[0.140, 0.140, 0.056], [0.860, 0.860, 0.944], [0.050, 0.050, 0.403], [0.296, 0.296, 0.535], [0.414, 0.414, 0.357], [0.586, 0.586, 0.643], [0.704, 0.704, 0.465], [0.950, 0.950, 0.597], [0.182, 0.182, 0.688], [0.469, 0.469, 0.765], [0.531, 0.531, 0.235], [0.818, 0.818, 0.312]]
}

***

{
  "formula": "HfAsP2O",
  "functional": "PBE-GGA",
  "state": "relaxed",
  "magnetic_moment_mub_per_fu": 0.0,
  "e_tot_ev_per_cell": -30.5,
  "e_form_raw_ev_per_fu": -0.1,
  "dos_at_fermi_per_ev_atom": 0.568,
  "cell": [[4.712, 0.000, 0.000], [0.000, 4.712, 0.000], [0.000, 0.000, 3.735]],
  "species": ["Hf", "As", "P", "P", "O"],
  "frac_coords": [[0.000, 0.000, 0.000], [0.500, 0.500, 0.500], [0.000, 0.500, 0.500], [0.500, 0.000, 0.500], [0.500, 0.500, 0.000]]
}

***

{
  "formula": "YFe2AuSe",
  "functional": "PBE-GGA",
  "state": "relaxed",
  "magnetic_moment_mub_per_fu": 5.0,
  "e_tot_ev_per_cell": -22.7,
  "e_form_raw_ev_per_fu": 7.4,
  "dos_at_fermi_per_ev_atom": 1.752,
  "cell": [[4.910, 0.000, 0.000], [0.000, 4.910, 0.000], [0.000, 0.000, 5.298]],
  "species": ["Y", "Fe", "Fe", "Au", "Se"],
  "frac_coords": [[0.000, 0.000, 0.000], [0.000, 0.500, 0.000], [0.500, 0.000, 0.000], [0.000, 0.000, 0.500], [0.500, 0.500, 0.500]]
}

***

{
  "formula": "Ca2Ac3Tl6",
  "functional": "PBE-GGA",
  "state": "relaxed",
  "e_form_ev_per_fu": -2.2,
  "magnetic_moment_mub_per_fu": 0.0,
  "e_tot_ev_per_cell": -32.7,
  "dos_at_fermi_per_ev_atom": 0.783,
  "cell": [[-2.522, 2.522, 15.011], [2.522, -2.522, 15.011], [2.522, 2.522, -15.011]],
  "species": ["Ca", "Ca", "Ac", "Ac", "Ac", "Tl", "Tl", "Tl", "Tl", "Tl", "Tl"],
  "frac_coords": [[0.056, 0.056, 0.000], [0.944, 0.944, 0.000], [0.301, 0.301, 0.000], [0.500, 0.500, 0.000], [0.699, 0.699, 0.000], [0.115, 0.615, 0.500], [0.188, 0.188, 0.000], [0.385, 0.885, 0.500], [0.615, 0.115, 0.500], [0.812, 0.812, 0.000], [0.885, 0.385, 0.500]]
}

***

{
  "formula": "SiBr2Cl",
  "functional": "PBE-GGA",
  "state": "relaxed",
  "magnetic_moment_mub_per_fu": 0.0,
  "e_tot_ev_per_cell": -19.3,
  "e_form_raw_ev_per_fu": 1.0,
  "dos_at_fermi_per_ev_atom": 0.373,
  "cell": [[5.326, 0.000, 0.000], [0.000, 8.607, 0.000], [0.000, 0.000, 4.600]],
  "species": ["Si", "Si", "Br", "Br", "Br", "Br", "Cl", "Cl"],
  "frac_coords": [[0.000, 0.000, 0.000], [0.500, 0.500, 0.000], [0.250, 0.250, 0.500], [0.250, 0.750, 0.500], [0.750, 0.250, 0.500], [0.750, 0.750, 0.500], [0.000, 0.500, 0.000], [0.500, 0.000, 0.000]]
}

***

{
  "formula": "K2InHg4Au3",
  "functional": "PBE-GGA",
  "state": "relaxed",
  "e_form_ev_per_fu": -1.9,
  "magnetic_moment_mub_per_fu": 0.0,
  "e_tot_ev_per_cell": -17.9,
  "dos_at_fermi_per_ev_atom": 0.203,
  "cell": [[4.511, 0.000, 0.000], [0.000, 4.511, 0.000], [0.000, 0.000, 13.463]],
  "species": ["K", "K", "In", "Hg", "Hg", "Hg", "Hg", "Au", "Au", "Au"],
  "frac_coords": [[0.000, 0.500, 0.233], [0.500, 0.000, 0.767], [0.000, 0.000, 0.500], [0.000, 0.000, 0.000], [0.000, 0.500, 0.650], [0.500, 0.000, 0.350], [0.500, 0.500, 0.000], [0.000, 0.500, 0.857], [0.500, 0.000, 0.143], [0.500, 0.500, 0.500]]
}

***

{
  "formula": "NdHg2I",
  "functional": "PBE-GGA",
  "state": "relaxed",
  "magnetic_moment_mub_per_fu": 0.0,
  "e_tot_ev_per_cell": -20.9,
  "e_form_raw_ev_per_fu": 0.0,
  "dos_at_fermi_per_ev_atom": 0.575,
  "cell": [[3.945, 0.000, 0.000], [-1.972, 3.416, 0.000], [0.000, 0.000, 32.751]],
  "species": ["Nd", "Nd", "Nd", "Hg", "Hg", "Hg", "Hg", "Hg", "Hg", "I", "I", "I"],
  "frac_coords": [[0.000, 0.000, 0.000], [0.333, 0.667, 0.667], [0.667, 0.333, 0.333], [0.000, 0.000, 0.095], [0.000, 0.000, 0.905], [0.333, 0.667, 0.572], [0.333, 0.667, 0.762], [0.667, 0.333, 0.238], [0.667, 0.333, 0.428], [0.000, 0.000, 0.500], [0.333, 0.667, 0.167], [0.667, 0.333, 0.833]]
}